No. 1
CeNd2Cr2C4 | GGA-PBE | optimized geometry

Computed properties:
energy of formation	-55	meV per atom
D(E_F)	0.837	states/eV/atom
space-group type	C2/m
total energy	-8.012	eV per atom

abc: 3.5142 6.9969 6.0695
angles: 109.32 90.00 104.54
Fractional coordinates of all 9 atoms:
Ce1 0.0000 0.0000 0.0000
Nd1 0.8655 0.7311 0.4619
Nd2 0.1345 0.2689 0.5381
Cr1 0.3174 0.6347 0.0031
Cr2 0.6826 0.3653 0.9969
C1 0.7855 0.5710 0.8333
C2 0.2145 0.4290 0.1667
C3 0.4488 0.8975 0.2352
C4 0.5512 0.1025 0.7648

---

No. 2
Ce2PaCr2C4 | GGA-PBE | optimized geometry

Computed properties:
energy of formation	-149	meV per atom
D(E_F)	0.843	states/eV/atom
space-group type	C2/m
total energy	-8.761	eV per atom

abc: 3.3938 6.7735 6.0777
angles: 109.18 90.00 104.51
Fractional coordinates of all 9 atoms:
Ce1 0.8671 0.7343 0.4674
Ce2 0.1329 0.2657 0.5326
Pa1 0.0000 0.0000 0.0000
Cr1 0.3155 0.6310 0.0031
Cr2 0.6845 0.3690 0.9969
C1 0.7782 0.5563 0.7981
C2 0.2218 0.4437 0.2019
C3 0.4580 0.9160 0.2463
C4 0.5420 0.0840 0.7537

---

No. 3
Ce2PaCrC4 | GGA-PBE | optimized geometry

Computed properties:
energy of formation	-14	meV per atom
D(E_F)	0.906	states/eV/atom
space-group type	Cmcm
total energy	-8.500	eV per atom

abc: 3.4230 6.0004 12.4574
angles: 90.00 90.00 106.57
Fractional coordinates of all 16 atoms:
Ce1 0.3624 0.7247 0.5429
Ce2 0.6376 0.2753 0.0429
Ce3 0.6376 0.2753 0.4571
Ce4 0.3624 0.7247 0.9571
Pa1 0.0941 0.1882 0.7500
Pa2 0.9059 0.8118 0.2500
Cr1 0.8289 0.6578 0.7500
Cr2 0.1711 0.3422 0.2500
C1 0.2784 0.5569 0.1427
C2 0.7216 0.4431 0.6427
C3 0.7216 0.4431 0.8573
C4 0.2784 0.5569 0.3573
C5 0.0000 0.0000 0.5000
C6 0.0000 0.0000 0.0000
C7 0.4298 0.8595 0.7500
C8 0.5702 0.1405 0.2500